Computed, not measured: a relaxed structure of BaGa2HOs at the PBE-GGA level of DFT.

Properties
Uncorrected energy (eV/f.u.): -19.4
D(E_F) (states/eV/f.u.): 4.58
Mass density (kg/m³): 8333

Unit cell a=4.403 b=4.811 c=4.403 alpha=90.00 beta=90.00 gamma=90.00
Last column: magnetic moment on the atom in μB.
Element x y z (fractional)
H 0.000 0.000 0.000  0.00
Os 0.500 0.500 0.500  0.94
Ba 0.000 0.500 0.000  -0.02
Ga 0.000 0.000 0.500  0.00
Ga 0.500 0.000 0.000  -0.02